# V2CdF

V2CdF after structural relaxation (PBE with a Hubbard U, Alexandria via LeMat-Bulk).

abc: 5.4558 5.4558 12.6017
angles: 90.00 90.00 90.00
Space group I-42d (No. 122)
Inequivalent atoms, fractional coordinates:
V 0.0363 0.7500 0.1250 [8 per cell]
Cd 0.0000 0.0000 0.5000 [4 per cell]
F 0.0000 0.0000 0.0000 [4 per cell]

Calculated values
For the distance to the lowest polymorph of the same formula, the calculation gives 0 meV/atom.